Entry from the Alexandria database: an optimized crystal structure of ErLuTe (PBE).

Cell lengths 3.873, 5.109, 5.109 Å; angles 120.00, 90.00, 90.00 degrees
Atoms (fractional coordinates):
Er  0.078  0.000  0.000
Lu  0.576  0.333  0.667
Te  0.346  0.667  0.333

Properties
energy above the lowest structure with this stoichiometry	313	meV per atom
formation energy (no corrections)	-0.43	eV per atom
N(E_F)	2.61	states/eV/cell
symmetry	P3m1